Record 1
Computed, not measured: crystalline NdNiP at its relaxed geometry at the PBE level of DFT.

Computed properties:
Its space-group type is P6_3/mmc.

Cell lengths 3.9786, 3.9786, 16.1097 Å; angles 90.00, 90.00, 120.00 degrees
Closest atoms and distances in Å follow each position.
Element x y z (fractional)
Nd 0.0000 0.0000 0.0000  6 P 3.05, 6 Ni 3.06
Nd 0.0000 0.0000 0.2500  6 Ni 3.05, 6 P 3.06
Nd 0.0000 0.0000 0.7500  6 Ni 3.05, 6 P 3.06
Nd 0.0000 0.0000 0.5000  6 P 3.05, 6 Ni 3.06
Ni 0.3333 0.6667 0.3746  3 P 2.30
Ni 0.6667 0.3333 0.6254  3 P 2.30
Ni 0.3333 0.6667 0.1254  3 P 2.30
Ni 0.6667 0.3333 0.8746  3 P 2.30
P 0.6667 0.3333 0.3751  3 Ni 2.30
P 0.3333 0.6667 0.8751  3 Ni 2.30
P 0.3333 0.6667 0.6249  3 Ni 2.30
P 0.6667 0.3333 0.1249  3 Ni 2.30


Record 2
Computed, not measured: crystalline LaZn2InPt at its relaxed geometry at the PBE level of DFT.

Computed properties:
Its space-group type is I-4m2.

Cell lengths 6.4029, 6.4029, 6.4029 Å; angles 140.63, 140.63, 56.90 degrees
Closest atoms and distances in Å follow each position.
Element x y z (fractional)
Pt 0.5000 0.5000 0.0000  4 Zn 2.67
La 0.2500 0.7500 0.5000  8 Zn 3.29, 4 Pt 3.55, 4 In 3.55
Zn 0.6400 0.1400 0.5000  1 Zn 2.48, 2 In 2.67, 2 Pt 2.67
Zn 0.8600 0.3600 0.5000  1 Zn 2.48, 2 Pt 2.67, 2 In 2.67
In 0.0000 0.0000 0.0000  4 Zn 2.67


Record 3
Computed, not measured: crystalline KErNiTe3 at its relaxed geometry at the PBE level of DFT.

Computed properties:
Its energy above the most stable polymorph in this dataset is 15 meV per atom. Its space-group type is Cmcm.

Cell lengths 8.8172, 8.8172, 10.5260 Å; angles 90.00, 90.00, 27.45 degrees
Closest atoms and distances in Å follow each position.
Element x y z (fractional)
Te 0.0832 0.0832 0.2500  2 Ni 2.62
Te 0.6175 0.6175 0.9138  1 Ni 2.53
Te 0.9168 0.9168 0.7500  2 Ni 2.62
Te 0.3825 0.3825 0.0862  1 Ni 2.53
Te 0.3825 0.3825 0.4138  1 Ni 2.53
Te 0.6175 0.6175 0.5862  1 Ni 2.53
Ni 0.5091 0.5091 0.7500  4 Te 2.53-2.62
Ni 0.4909 0.4909 0.2500  4 Te 2.53-2.62
Er 0.0000 0.0000 0.0000  6 Te 2.99-3.04
Er 0.0000 0.0000 0.5000  6 Te 2.99-3.04
K 0.7473 0.7473 0.2500  6 Te 3.50-3.56
K 0.2527 0.2527 0.7500  6 Te 3.50-3.56


Record 4
Computed, not measured: crystalline GdSiNi2P at its relaxed geometry at the PBE level of DFT.

Computed properties:
Its space-group type is I4mm.

Cell lengths 5.5019, 5.5019, 5.5019 Å; angles 138.14, 138.14, 60.70 degrees
Closest atoms and distances in Å follow each position.
Element x y z (fractional)
P 0.3756 0.3756 0.0000  4 Ni 2.29, 1 Si 2.36
Ni 0.2510 0.7510 0.5000  2 P 2.29, 2 Si 2.31
Ni 0.7510 0.2510 0.5000  2 P 2.29, 2 Si 2.31
Gd 0.9983 0.9983 0.0000  4 P 3.01, 4 Si 3.03, 8 Ni 3.06-3.10
Si 0.6241 0.6241 0.0000  4 Ni 2.31, 1 P 2.36


Number 1: DFT total energy -6.403 eV per atom. Number 2: DFT total energy -3.772 eV per atom. Number 3: DFT total energy -4.330 eV per atom. Number 4: DFT total energy -6.300 eV per atom.